(1)
A plane-wave DFT calculation with GGA-PBE was carried out for BaNi2Pd after structural relaxation.

## Properties
density of states at the Fermi level: 17.27 states/eV per cell
energy of formation from the pure elements: 0.089 eV per atom

Unit cell a=4.696 b=4.696 c=17.337 alpha=90.00 beta=90.00 gamma=90.00
Space group I4_1/amd (No. 141, origin choice 2)
Symmetry-distinct sites (fractional):
1 Ba 0.000 0.250 0.375 (multiplicity 4)
2 Ni 0.000 0.000 0.000 (multiplicity 8)
3 Pd 0.000 0.250 0.875 (multiplicity 4)

---

(2)
A plane-wave DFT calculation with GGA-PBE was carried out for BaNiPd2 after structural relaxation.

## Properties
density of states at the Fermi level: 14.93 states/eV per cell
energy of formation from the pure elements: -0.042 eV per atom

Unit cell a=5.033 b=5.033 c=16.693 alpha=90.00 beta=90.00 gamma=90.00
Space group I-42d (No. 122)
Symmetry-distinct sites (fractional):
1 Ba 0.000 0.000 0.000 (multiplicity 4)
2 Ni 0.000 0.000 0.500 (multiplicity 4)
3 Pd 0.050 0.250 0.625 (multiplicity 8)

---

(3)
A plane-wave DFT calculation with GGA-PBE was carried out for Ba2Ni2Pd after structural relaxation.

## Properties
polymorph energy (0 for the lowest one): 0.0000 eV/atom
density of states at the Fermi level: 6.85 states/eV per cell
energy of formation from the pure elements: 0.041 eV per atom

Unit cell a=7.399 b=7.399 c=4.474 alpha=90.00 beta=90.00 gamma=90.00
Space group P4/mbm (No. 127)
Symmetry-distinct sites (fractional):
1 Ba 0.188 0.312 0.000 (multiplicity 4)
2 Ni 0.112 0.612 0.500 (multiplicity 4)
3 Pd 0.000 0.000 0.500 (multiplicity 2)

---

(4)
A plane-wave DFT calculation with GGA-PBE was carried out for Ba5NiPd after structural relaxation.

## Properties
density of states at the Fermi level: 20.40 states/eV per cell
energy of formation from the pure elements: -0.124 eV per atom

Unit cell a=7.746 b=15.468 c=11.677 alpha=90.00 beta=108.23 gamma=90.00
Space group P2_1/c (No. 14)
Symmetry-distinct sites (fractional):
1 Ba 0.002 0.116 0.399 (multiplicity 4)
2 Ba 0.143 0.609 0.490 (multiplicity 4)
3 Ba 0.253 0.146 0.812 (multiplicity 4)
4 Ba 0.349 0.653 0.881 (multiplicity 4)
5 Ba 0.418 0.091 0.214 (multiplicity 4)
6 Ni 0.074 0.516 0.717 (multiplicity 4)
7 Pd 0.364 0.740 0.140 (multiplicity 4)

---

(5)
A plane-wave DFT calculation with GGA-PBE was carried out for Ba8NiPd2 after structural relaxation.

## Properties
density of states at the Fermi level: 18.27 states/eV per cell
energy of formation from the pure elements: -0.179 eV per atom

Unit cell a=15.243 b=8.346 c=8.514 alpha=90.00 beta=90.44 gamma=90.00
Space group C2/m (No. 12)
Symmetry-distinct sites (fractional):
1 Ba 0.037 0.240 0.243 (multiplicity 8)
2 Ba 0.195 0.000 0.621 (multiplicity 4)
3 Ba 0.214 0.500 0.894 (multiplicity 4)
4 Ni 0.000 0.000 0.500 (multiplicity 2)
5 Pd 0.095 0.000 0.956 (multiplicity 4)

---

(6)
A plane-wave DFT calculation with GGA-PBE was carried out for BaNiPd2 after structural relaxation.

## Properties
density of states at the Fermi level: 9.02 states/eV per cell
energy of formation from the pure elements: 0.169 eV per atom

Unit cell a=6.886 b=6.886 c=6.886 alpha=90.00 beta=90.00 gamma=90.00
Space group Fm-3m (No. 225)
Symmetry-distinct sites (fractional):
1 Ba 0.000 0.000 0.000 (multiplicity 4)
2 Ni 0.000 0.000 0.500 (multiplicity 4)
3 Pd 0.250 0.250 0.250 (multiplicity 8)

---

(7)
A plane-wave DFT calculation with GGA-PBE was carried out for Ba2Ni2Pd after structural relaxation.

## Properties
polymorph energy (0 for the lowest one): 0.0215 eV/atom
density of states at the Fermi level: 7.76 states/eV per cell
energy of formation from the pure elements: 0.063 eV per atom

Unit cell a=3.636 b=3.636 c=18.587 alpha=90.00 beta=90.00 gamma=90.00
Space group I4/mmm (No. 139)
Symmetry-distinct sites (fractional):
1 Ba 0.000 0.000 0.110 (multiplicity 4)
2 Ni 0.000 0.500 0.250 (multiplicity 4)
3 Pd 0.000 0.000 0.500 (multiplicity 2)

---

(8)
A plane-wave DFT calculation with GGA-PBE was carried out for BaNi2Pd after structural relaxation.

## Properties
density of states at the Fermi level: 4.22 states/eV per cell
energy of formation from the pure elements: 0.382 eV per atom

Unit cell a=6.654 b=6.654 c=6.654 alpha=90.00 beta=90.00 gamma=90.00
Space group Fm-3m (No. 225)
Symmetry-distinct sites (fractional):
1 Ba 0.000 0.000 0.000 (multiplicity 4)
2 Ni 0.250 0.250 0.250 (multiplicity 8)
3 Pd 0.000 0.000 0.500 (multiplicity 4)

---

(9)
A plane-wave DFT calculation with GGA-PBE was carried out for Rb2BaNiPd after structural relaxation.

## Properties
density of states at the Fermi level: 2.46 states/eV per cell
energy of formation from the pure elements: 0.540 eV per atom

Unit cell a=6.040 b=6.040 c=5.045 alpha=90.00 beta=90.00 gamma=90.00
Space group P4/mmm (No. 123)
Symmetry-distinct sites (fractional):
1 Rb 0.000 0.500 0.000 (multiplicity 2)
2 Ba 0.000 0.000 0.500 (multiplicity 1)
3 Ni 0.500 0.500 0.000 (multiplicity 1)
4 Pd 0.500 0.500 0.500 (multiplicity 1)

---

(10)
A plane-wave DFT calculation with GGA-PBE was carried out for BaScNiPd2 after structural relaxation.

## Properties
density of states at the Fermi level: 2.86 states/eV per cell
energy of formation from the pure elements: -0.044 eV per atom

Unit cell a=5.059 b=5.059 c=4.824 alpha=90.00 beta=90.00 gamma=90.00
Space group P4/mmm (No. 123)
Symmetry-distinct sites (fractional):
1 Ba 0.000 0.000 0.000 (multiplicity 1)
2 Sc 0.500 0.500 0.500 (multiplicity 1)
3 Ni 0.500 0.500 0.000 (multiplicity 1)
4 Pd 0.000 0.500 0.500 (multiplicity 2)

---

(11)
A plane-wave DFT calculation with GGA-PBE was carried out for BaSi8Ni2Pd after structural relaxation.

## Properties
density of states at the Fermi level: 14.36 states/eV per cell
formation energy (no corrections): -0.024 eV/atom

Unit cell a=5.4985 b=5.4985 c=23.0974 alpha=90.00 beta=90.00 gamma=120.00
Space group R-3 (No. 148, hexagonal axes)
Symmetry-distinct sites (fractional):
1 Ba 0.0000 0.0000 0.0000 (multiplicity 3)
2 Si 0.0000 0.0000 0.3896 (multiplicity 6)
3 Si 0.0152 0.4176 0.5488 (multiplicity 18)
4 Ni 0.0000 0.0000 0.2804 (multiplicity 6)
5 Pd 0.0000 0.0000 0.5000 (multiplicity 3)

---

(12)
A plane-wave DFT calculation with GGA-PBE was carried out for BaNiSn2Pd after structural relaxation.

## Properties
density of states at the Fermi level: 7.25 states/eV per cell
energy of formation from the pure elements: -0.512 eV per atom

Unit cell a=4.729 b=4.729 c=11.171 alpha=90.00 beta=90.00 gamma=90.00
Space group I-4m2 (No. 119)
Symmetry-distinct sites (fractional):
1 Ba 0.000 0.000 0.000 (multiplicity 2)
2 Ni 0.000 0.500 0.750 (multiplicity 2)
3 Sn 0.000 0.000 0.356 (multiplicity 4)
4 Pd 0.000 0.500 0.250 (multiplicity 2)

---

(13)
A plane-wave DFT calculation with GGA-PBE was carried out for BaNi2TePd after structural relaxation.

## Properties
density of states at the Fermi level: 0.28 states/eV per cell
formation energy (no corrections): -0.095 eV/atom

Unit cell a=4.797 b=4.797 c=5.174 alpha=90.00 beta=90.00 gamma=90.00
Space group P4/mmm (No. 123)
Symmetry-distinct sites (fractional):
1 Ba 0.000 0.000 0.000 (multiplicity 1)
2 Ni 0.000 0.500 0.500 (multiplicity 2)
3 Te 0.500 0.500 0.500 (multiplicity 1)
4 Pd 0.500 0.500 0.000 (multiplicity 1)

---

(14)
A plane-wave DFT calculation with GGA-PBE was carried out for BaTiNiPd2 after structural relaxation.

## Properties
density of states at the Fermi level: 6.72 states/eV per cell
energy of formation from the pure elements: 1.870 eV per atom

Unit cell a=5.205 b=5.205 c=5.480 alpha=90.00 beta=90.00 gamma=90.00
Space group P4/mmm (No. 123)
Symmetry-distinct sites (fractional):
1 Ba 0.000 0.000 0.000 (multiplicity 1)
2 Ti 0.000 0.000 0.500 (multiplicity 1)
3 Ni 0.500 0.500 0.500 (multiplicity 1)
4 Pd 0.000 0.500 0.000 (multiplicity 2)

---

(15)
A plane-wave DFT calculation with GGA-PBE was carried out for BaVNiPd2 after structural relaxation.

## Properties
density of states at the Fermi level: 6.48 states/eV per cell
energy of formation from the pure elements: 1.956 eV per atom

Unit cell a=5.259 b=5.259 c=5.486 alpha=90.00 beta=90.00 gamma=90.00
Space group P4/mmm (No. 123)
Symmetry-distinct sites (fractional):
1 Ba 0.000 0.000 0.000 (multiplicity 1)
2 V 0.000 0.000 0.500 (multiplicity 1)
3 Ni 0.500 0.500 0.500 (multiplicity 1)
4 Pd 0.000 0.500 0.000 (multiplicity 2)

---

(16)
A plane-wave DFT calculation with GGA-PBE was carried out for Ba2Zn6NiPd after structural relaxation.

## Properties
density of states at the Fermi level: 11.93 states/eV per cell
energy of formation from the pure elements: -0.266 eV per atom

Unit cell a=6.886 b=6.899 c=9.729 alpha=90.00 beta=90.00 gamma=90.00
Space group Immm (No. 71)
Symmetry-distinct sites (fractional):
1 Ba 0.000 0.000 0.250 (multiplicity 4)
2 Zn 0.000 0.500 0.242 (multiplicity 4)
3 Zn 0.242 0.258 0.000 (multiplicity 8)
4 Ni 0.000 0.500 0.000 (multiplicity 2)
5 Pd 0.000 0.500 0.500 (multiplicity 2)

---

(17)
A plane-wave DFT calculation with GGA-PBE was carried out for Ba2ZrNiPd after structural relaxation.

## Properties
density of states at the Fermi level: 4.81 states/eV per cell
energy of formation from the pure elements: 0.351 eV per atom

Unit cell a=5.987 b=5.987 c=4.785 alpha=90.00 beta=90.00 gamma=90.00
Space group P4/mmm (No. 123)
Symmetry-distinct sites (fractional):
1 Ba 0.000 0.500 0.000 (multiplicity 2)
2 Zr 0.000 0.000 0.500 (multiplicity 1)
3 Ni 0.000 0.000 0.000 (multiplicity 1)
4 Pd 0.500 0.500 0.500 (multiplicity 1)

---

(18)
A plane-wave DFT calculation with GGA-PBE was carried out for BaPm2Ni after structural relaxation.

## Properties
polymorph energy (0 for the lowest one): 0.0595 eV/atom
density of states at the Fermi level: 14.93 states/eV per cell
energy of formation from the pure elements: 0.037 eV per atom

Unit cell a=4.0403 b=4.0403 c=32.3242 alpha=90.00 beta=90.00 gamma=120.00
Space group R-3m (No. 166, hexagonal axes)
Symmetry-distinct sites (fractional):
1 Ba 0.0000 0.0000 0.0000 (multiplicity 3)
2 Pm 0.0000 0.0000 0.1210 (multiplicity 6)
3 Ni 0.0000 0.0000 0.5000 (multiplicity 3)

---

(19)
A plane-wave DFT calculation with GGA-PBE was carried out for BaPmNi2 after structural relaxation.

## Properties
density of states at the Fermi level: 2.06 states/eV per cell
energy of formation from the pure elements: -0.061 eV per atom

Unit cell a=3.630 b=3.630 c=7.329 alpha=90.00 beta=90.00 gamma=90.00
Space group P4/mmm (No. 123)
Symmetry-distinct sites (fractional):
1 Ba 0.000 0.000 0.000 (multiplicity 1)
2 Pm 0.000 0.000 0.500 (multiplicity 1)
3 Ni 0.500 0.500 0.314 (multiplicity 2)

---

(20)
A plane-wave DFT calculation with GGA-PBE was carried out for BaPmNi10 after structural relaxation.

## Properties
density of states at the Fermi level: 15.98 states/eV per cell
energy of formation from the pure elements: -0.093 eV per atom

Unit cell a=3.952 b=5.065 c=8.807 alpha=90.00 beta=90.00 gamma=90.00
Space group Pmmm (No. 47)
Symmetry-distinct sites (fractional):
1 Ba 0.000 0.000 0.000 (multiplicity 1)
2 Pm 0.000 0.500 0.500 (multiplicity 1)
3 Ni 0.000 0.000 0.343 (multiplicity 2)
4 Ni 0.000 0.500 0.179 (multiplicity 2)
5 Ni 0.500 0.000 0.500 (multiplicity 1)
6 Ni 0.500 0.256 0.262 (multiplicity 4)
7 Ni 0.500 0.500 0.000 (multiplicity 1)